i) # BaCoHSe2, optimized geometry, DFT GGA-PBE
data_BaCoHSe2
_symmetry_space_group_name_H-M 'P 1'
_symmetry_Int_Tables_number 1
_cell_length_a 5.0109
_cell_length_b 5.0109
_cell_length_c 4.0795
_cell_angle_alpha 90.00
_cell_angle_beta 90.00
_cell_angle_gamma 90.00
loop_
_symmetry_equiv_pos_as_xyz
'x,y,z'
loop_
_atom_site_label
_atom_site_fract_x
_atom_site_fract_y
_atom_site_fract_z
Ba1 0.0000 0.0000 0.0000
Co1 0.5000 0.5000 0.5000
H1 0.5000 0.5000 0.0000
Se1 0.0000 0.5000 0.5000
Se2 0.5000 0.0000 0.5000
# **Spin magnetization**: 1.89 μB/f.u.

=====

ii) # BaCoHSe2, optimized geometry, DFT GGA-PBE
data_BaCoHSe2
_symmetry_space_group_name_H-M 'P 1'
_symmetry_Int_Tables_number 1
_cell_length_a 5.3697
_cell_length_b 5.3697
_cell_length_c 3.5463
_cell_angle_alpha 90.00
_cell_angle_beta 90.00
_cell_angle_gamma 90.00
loop_
_symmetry_equiv_pos_as_xyz
'x,y,z'
loop_
_atom_site_label
_atom_site_fract_x
_atom_site_fract_y
_atom_site_fract_z
Ba1 0.0000 0.0000 0.0000
Co1 0.5000 0.5000 0.0000
H1 0.5000 0.5000 0.5000
Se1 0.0000 0.5000 0.5000
Se2 0.5000 0.0000 0.5000
# **Spin magnetization**: 2.02 μB/f.u.

=====

Result of the stability comparison: i) is the most stable of them.

=====

i) # Ba2Hf2Co, optimized geometry, DFT GGA-PBE
data_Ba2Hf2Co
_symmetry_space_group_name_H-M 'P 1'
_symmetry_Int_Tables_number 1
_cell_length_a 6.7409
_cell_length_b 6.7409
_cell_length_c 6.1963
_cell_angle_alpha 90.00
_cell_angle_beta 90.00
_cell_angle_gamma 90.00
loop_
_symmetry_equiv_pos_as_xyz
'x,y,z'
loop_
_atom_site_label
_atom_site_fract_x
_atom_site_fract_y
_atom_site_fract_z
Ba1 0.1853 0.3147 0.0000
Ba2 0.3147 0.8147 0.0000
Ba3 0.6853 0.1853 0.0000
Ba4 0.8147 0.6853 0.0000
Hf1 0.1643 0.6643 0.5000
Hf2 0.3357 0.1643 0.5000
Hf3 0.6643 0.8357 0.5000
Hf4 0.8357 0.3357 0.5000
Co1 0.0000 0.0000 0.5000
Co2 0.5000 0.5000 0.5000
# **Spin magnetization**: 0.00 μB/f.u.

=====

ii) # Ba2Hf2Co, optimized geometry, DFT GGA-PBE
data_Ba2Hf2Co
_symmetry_space_group_name_H-M 'P 1'
_symmetry_Int_Tables_number 1
_cell_length_a 4.2172
_cell_length_b 4.2172
_cell_length_c 17.0864
_cell_angle_alpha 90.00
_cell_angle_beta 90.00
_cell_angle_gamma 90.00
loop_
_symmetry_equiv_pos_as_xyz
'x,y,z'
loop_
_atom_site_label
_atom_site_fract_x
_atom_site_fract_y
_atom_site_fract_z
Ba1 0.0000 0.5000 0.2500
Ba2 0.0000 0.5000 0.7500
Ba3 0.5000 0.0000 0.2500
Ba4 0.5000 0.0000 0.7500
Hf1 0.0000 0.0000 0.0745
Hf2 0.0000 0.0000 0.9255
Hf3 0.5000 0.5000 0.4255
Hf4 0.5000 0.5000 0.5745
Co1 0.0000 0.0000 0.5000
Co2 0.5000 0.5000 0.0000
# **Spin magnetization**: 1.24 μB/f.u.

=====

Result of the stability comparison: i) is the most stable of them.

=====

i) # BaHfCo3, optimized geometry, DFT GGA-PBE
data_BaHfCo3
_symmetry_space_group_name_H-M 'P 1'
_symmetry_Int_Tables_number 1
_cell_length_a 4.7948
_cell_length_b 4.7948
_cell_length_c 4.7948
_cell_angle_alpha 90.00
_cell_angle_beta 90.00
_cell_angle_gamma 90.00
loop_
_symmetry_equiv_pos_as_xyz
'x,y,z'
loop_
_atom_site_label
_atom_site_fract_x
_atom_site_fract_y
_atom_site_fract_z
Ba1 0.0000 0.0000 0.0000
Hf1 0.5000 0.5000 0.5000
Co1 0.0000 0.5000 0.5000
Co2 0.5000 0.0000 0.5000
Co3 0.5000 0.5000 0.0000
# **Spin magnetization**: 1.34 μB/f.u.

=====

ii) # BaHfCo3, optimized geometry, DFT GGA-PBE
data_BaHfCo3
_symmetry_space_group_name_H-M 'P 1'
_symmetry_Int_Tables_number 1
_cell_length_a 4.6716
_cell_length_b 4.6716
_cell_length_c 4.6716
_cell_angle_alpha 90.00
_cell_angle_beta 90.00
_cell_angle_gamma 90.00
loop_
_symmetry_equiv_pos_as_xyz
'x,y,z'
loop_
_atom_site_label
_atom_site_fract_x
_atom_site_fract_y
_atom_site_fract_z
Ba1 0.0000 0.0000 0.0000
Hf1 0.5000 0.5000 0.5000
Co1 0.0000 0.0000 0.5000
Co2 0.0000 0.5000 0.0000
Co3 0.5000 0.0000 0.0000
# **Spin magnetization**: 0.00 μB/f.u.

=====

Result of the stability comparison: i) is the most stable of them.